This record from Alexandria via LeMat-Bulk describes a geometry-optimized ZnAu2Cl structure. The functional is GGA-PBE. Values from VASP.

* offset from the most stable computed form: 0.000 kcal/mol of atoms
* crystal system: monoclinic
* size of the total moment: 0.000 μB/f.u.
* DOS(E_F): 0.7 states/eV/cell

The structure in Quantum ESPRESSO input format:
```
&SYSTEM
  ibrav = 0, nat = 4, ntyp = 3
/
ATOMIC_SPECIES
Zn 65.41 Zn.upf
Au 196.97 Au.upf
Cl 35.45 Cl.upf
CELL_PARAMETERS angstrom
4.319 0.000 0.000
0.000 3.433 0.000
-0.036 0.000 6.579
ATOMIC_POSITIONS crystal
Zn 0.000 0.000 0.000
Au 0.002 0.500 0.300
Au 0.502 0.000 0.256
Cl 0.998 0.500 0.754
```

This record from Alexandria via LeMat-Bulk describes a geometry-optimized ZnAu2Cl structure. The functional is GGA-PBE. Values from VASP.

* offset from the most stable computed form: 12.039 kcal/mol of atoms
* crystal system: cubic
* size of the total moment: 0.000 μB/f.u.
* DOS(E_F): 1.2 states/eV/cell

The structure in Quantum ESPRESSO input format:
```
&SYSTEM
  ibrav = 0, nat = 4, ntyp = 3
/
ATOMIC_SPECIES
Zn 65.41 Zn.upf
Au 196.97 Au.upf
Cl 35.45 Cl.upf
CELL_PARAMETERS angstrom
0.000 3.363 3.363
3.363 0.000 3.363
3.363 3.363 0.000
ATOMIC_POSITIONS crystal
Zn 0.000 0.000 0.000
Au 0.250 0.250 0.250
Au 0.500 0.500 0.500
Cl 0.750 0.750 0.750
```